1.
A plane-wave DFT calculation with GGA-PBE was carried out for a relaxed structure of Al2VGa2.

Results
E: -23.2 eV per formula unit
total moment: 0.0 μB/f.u.
crystal system: monoclinic
formation energy: -0.11 eV/atom
density: 5.29 g/cm3

```
data_Al2VGa2
_chemical_formula_sum 'Al4 V2 Ga4'
_space_group_name_H-M_alt 'C 1 2/m 1'
_space_group_IT_number 12
_cell_length_a 9.098
_cell_length_b 3.677
_cell_length_c 6.136
_cell_angle_alpha 90.00
_cell_angle_beta 131.68
_cell_angle_gamma 90.00
loop_
_space_group_symop_operation_xyz
'x,y,z'
'-x,-y,-z'
'-x,y,-z'
'x,-y,z'
'x+1/2,y+1/2,z'
'-x+1/2,-y+1/2,-z'
'-x+1/2,y+1/2,-z'
'x+1/2,-y+1/2,z'
loop_
_atom_site_label
_atom_site_fract_x
_atom_site_fract_y
_atom_site_fract_z
_atom_site_occupancy
Al1 0.209 0.000 0.315 1
V1 0.000 0.000 0.500 1
Ga1 0.109 0.500 0.905 1
```


2.
A plane-wave DFT calculation with GGA-PBE was carried out for a relaxed structure of SmHoEr2Tm5.

Results
E: -39.3 eV per formula unit
total moment: 0.0 μB/f.u.
crystal system: orthorhombic
formation energy: 0.16 eV/atom
density: 8.76 g/cm3

```
data_SmHoEr2Tm5
_chemical_formula_sum 'Sm4 Ho4 Er8 Tm20'
_space_group_name_H-M_alt 'C m c 21'
_space_group_IT_number 36
_cell_length_a 5.532
_cell_length_b 19.554
_cell_length_c 10.472
_cell_angle_alpha 90.00
_cell_angle_beta 90.00
_cell_angle_gamma 90.00
loop_
_space_group_symop_operation_xyz
'x,y,z'
'-x,-y,z+1/2'
'-x,y,z'
'x,-y,z+1/2'
'x+1/2,y+1/2,z'
'-x+1/2,-y+1/2,z+1/2'
'-x+1/2,y+1/2,z'
'x+1/2,-y+1/2,z+1/2'
loop_
_atom_site_label
_atom_site_fract_x
_atom_site_fract_y
_atom_site_fract_z
_atom_site_occupancy
Sm1 0.000 0.084 0.000 1
Ho1 0.000 0.300 0.558 1
Er1 0.000 0.387 0.865 1
Er2 0.000 0.390 0.283 1
Tm1 0.000 0.021 0.283 1
Tm2 0.000 0.111 0.569 1
Tm3 0.000 0.201 0.257 1
Tm4 0.000 0.218 0.857 1
Tm5 0.000 0.482 0.572 1
```


3.
A plane-wave DFT calculation with GGA-PBE was carried out for a relaxed structure of CuAsSCl2.

Results
E: -15.1 eV per formula unit
total moment: 0.0 μB/f.u.
crystal system: tetragonal
raw formation energy: 289 meV per atom
density: 3.37 g/cm3

```
data_CuAsSCl2
_chemical_formula_sum 'Cu1 As1 S1 Cl2'
_space_group_name_H-M_alt 'P 4/m m m'
_space_group_IT_number 123
_space_group_name_Hall '-P 4 2'
_cell_length_a 4.949
_cell_length_b 4.949
_cell_length_c 4.855
_cell_angle_alpha 90.00
_cell_angle_beta 90.00
_cell_angle_gamma 90.00
loop_
_atom_site_label
_atom_site_fract_x
_atom_site_fract_y
_atom_site_fract_z
_atom_site_occupancy
Cu1 0.000 0.000 0.000 1
As1 0.500 0.500 0.500 1
S1 0.500 0.500 0.000 1
Cl1 0.000 0.500 0.500 1
```


4.
A plane-wave DFT calculation with GGA-PBE was carried out for a relaxed structure of UZn3Pt12.

Results
E: -94.8 eV per formula unit
total moment: 0.5 μB/f.u.
crystal system: tetragonal
formation energy: -0.45 eV/atom
density: 18.15 g/cm3

```
data_UZn3Pt12
_chemical_formula_sum 'U1 Zn3 Pt12'
_space_group_name_H-M_alt 'P 4/m m m'
_space_group_IT_number 123
_space_group_name_Hall '-P 4 2'
_cell_length_a 4.009
_cell_length_b 4.009
_cell_length_c 15.800
_cell_angle_alpha 90.00
_cell_angle_beta 90.00
_cell_angle_gamma 90.00
loop_
_atom_site_label
_atom_site_fract_x
_atom_site_fract_y
_atom_site_fract_z
_atom_site_occupancy
U1 0.000 0.000 0.000 1
Zn1 0.000 0.000 0.262 1
Zn2 0.000 0.000 0.500 1
Pt1 0.000 0.500 0.131 1
Pt2 0.000 0.500 0.379 1
Pt3 0.500 0.500 0.000 1
Pt4 0.500 0.500 0.256 1
Pt5 0.500 0.500 0.500 1
```


5.
A plane-wave DFT calculation with GGA-PBE was carried out for a relaxed structure of Zr7N4O8.

Results
E: -183.2 eV per formula unit
total moment: 0.0 μB/f.u.
crystal system: triclinic
raw formation energy: -2651 meV per atom
density: 5.69 g/cm3

```
data_Zr7N4O8
_chemical_formula_sum 'Zr7 N4 O8'
_space_group_name_H-M_alt 'P 1'
_space_group_IT_number 1
_cell_length_a 6.271
_cell_length_b 6.292
_cell_length_c 6.373
_cell_angle_alpha 99.74
_cell_angle_beta 99.26
_cell_angle_gamma 99.21
loop_
_space_group_symop_operation_xyz
'x,y,z'
loop_
_atom_site_label
_atom_site_fract_x
_atom_site_fract_y
_atom_site_fract_z
_atom_site_occupancy
Zr1 0.000 0.000 0.000 1
Zr2 0.089 0.574 0.278 1
Zr3 0.305 0.165 0.551 1
Zr4 0.394 0.741 0.791 1
Zr5 0.546 0.255 0.111 1
Zr6 0.685 0.882 0.421 1
Zr7 0.823 0.472 0.727 1
N1 0.269 0.051 0.842 1
N2 0.360 0.805 0.471 1
N3 0.627 0.212 0.478 1
N4 0.764 0.796 0.732 1
O1 0.012 0.969 0.331 1
O2 0.113 0.455 0.589 1
O3 0.117 0.681 0.988 1
O4 0.263 0.312 0.232 1
O5 0.506 0.441 0.839 1
O6 0.599 0.932 0.089 1
O7 0.757 0.565 0.291 1
O8 0.861 0.285 0.981 1
```


6.
A plane-wave DFT calculation with GGA-PBE was carried out for a relaxed structure of KRbMn2I8.

Results
E: -40.8 eV per formula unit
total moment: 8.0 μB/f.u.
crystal system: trigonal
raw formation energy: -667 meV per atom
density: 3.63 g/cm3

```
data_KRbMn2I8
_chemical_formula_sum 'K1 Rb1 Mn2 I8'
_space_group_name_H-M_alt 'P -3'
_space_group_IT_number 147
_cell_length_a 7.4873
_cell_length_b 7.4873
_cell_length_c 11.7710
_cell_angle_alpha 90.00
_cell_angle_beta 90.00
_cell_angle_gamma 120.00
loop_
_space_group_symop_operation_xyz
'x,y,z'
'-x,-y,-z'
'-y,x-y,z'
'y,-x+y,-z'
'-x+y,-x,z'
'x-y,x,-z'
loop_
_atom_site_label
_atom_site_fract_x
_atom_site_fract_y
_atom_site_fract_z
_atom_site_occupancy
K1 0.0000 0.0000 0.0000 1
Rb1 0.0000 0.0000 0.5000 1
Mn1 0.3333 0.6667 0.2779 1
I1 0.0032 0.6623 0.7840 1
I2 0.3333 0.6667 0.4979 1
```


7.
A plane-wave DFT calculation with GGA-PBE was carried out for a relaxed structure of BaSnS2Cl.

Results
E: -21.9 eV per formula unit
total moment: 0.0 μB/f.u.
crystal system: tetragonal
raw formation energy: -1170 meV per atom
density: 4.18 g/cm3

```
data_BaSnS2Cl
_chemical_formula_sum 'Ba1 Sn1 S2 Cl1'
_space_group_name_H-M_alt 'P 4/m m m'
_space_group_IT_number 123
_space_group_name_Hall '-P 4 2'
_cell_length_a 5.182
_cell_length_b 5.182
_cell_length_c 5.260
_cell_angle_alpha 90.00
_cell_angle_beta 90.00
_cell_angle_gamma 90.00
loop_
_atom_site_label
_atom_site_fract_x
_atom_site_fract_y
_atom_site_fract_z
_atom_site_occupancy
Ba1 0.000 0.000 0.000 1
Sn1 0.500 0.500 0.500 1
S1 0.000 0.500 0.500 1
Cl1 0.500 0.500 0.000 1
```


8.
A plane-wave DFT calculation with GGA-PBE was carried out for a relaxed structure of KLi2Tl10.

Results
E: -29.4 eV per formula unit
total moment: 0.0 μB/f.u.
crystal system: orthorhombic
formation energy: -0.06 eV/atom
density: 9.00 g/cm3

```
data_KLi2Tl10
_chemical_formula_sum 'K4 Li8 Tl40'
_space_group_name_H-M_alt 'F m m m'
_space_group_IT_number 69
_space_group_name_Hall '-F 2 2'
_cell_length_a 6.318
_cell_length_b 14.776
_cell_length_c 16.569
_cell_angle_alpha 90.00
_cell_angle_beta 90.00
_cell_angle_gamma 90.00
loop_
_atom_site_label
_atom_site_fract_x
_atom_site_fract_y
_atom_site_fract_z
_atom_site_occupancy
K1 0.000 0.000 0.000 1
Li1 0.250 0.000 0.250 1
Tl1 0.000 0.108 0.380 1
Tl2 0.000 0.168 0.181 1
Tl3 0.250 0.250 0.000 1
```